(1)
Material: RbCd
Method: DFT, PBE-GGA
State: relaxed

**Size of the total moment**: 0.0 μB per cell
**Formation enthalpy at 0 K**: 74 meV per atom
**Raw total energy**: -13.87 eV per cell

Lattice parameters (Å, degrees): 13.4982 13.4982 4.6692 90.00 90.00 90.00
Closest atoms and distances in Å follow each position.
Space group I4/m (No. 87)
Inequivalent atoms, fractional coordinates:
1 Rb 0.1452 0.6547 0.0000 [8 per cell]  4 Cd 3.85-3.89
2 Cd 0.0600 0.1444 0.0000 [8 per cell]  2 Cd 2.98



(2)
Material: MnZnCd2Br
Method: DFT, PBE-GGA
State: relaxed

**Size of the total moment**: 4.7 μB per cell
**Formation energy without anion corrections**: 0.279 eV per atom
**Raw total energy**: -12.55 eV per cell
**Relative energy among the computed polymorphs**: 0 meV per atom

Lattice parameters (Å, degrees): 5.1546 5.1546 5.0462 90.00 90.00 90.00
Closest atoms and distances in Å follow each position.
Space group P4/mmm (No. 123)
Inequivalent atoms, fractional coordinates:
1 Mn 0.0000 0.0000 0.0000 [1 per cell]  2 Zn 2.52
2 Zn 0.0000 0.0000 0.5000 [1 per cell]  2 Mn 2.52, 4 Cd 2.58
3 Cd 0.0000 0.5000 0.5000 [2 per cell]  2 Zn 2.58
4 Br 0.5000 0.5000 0.0000 [1 per cell]  8 Cd 3.61, 4 Mn 3.64



(3)
Material: Tb16Pm6Nd7
Method: DFT, PBE-GGA
State: relaxed

**Size of the total moment**: 0.0 μB per cell
**Formation enthalpy at 0 K**: 236 meV per atom
**Raw total energy**: -516.50 eV per cell

Lattice parameters (Å, degrees): 15.9783 15.9783 15.9783 90.00 90.00 90.00
Closest atoms and distances in Å follow each position.
Space group Fm-3m (No. 225)
Inequivalent atoms, fractional coordinates:
1 Tb 0.1287 0.1287 0.1287 [32 per cell]  4 Nd 3.43-3.56, 3 Tb 3.56, 3 Pm 3.63
2 Tb 0.1507 0.1507 0.3493 [32 per cell]  3 Nd 3.29, 3 Tb 3.56, 3 Pm 3.67
3 Pm 0.0000 0.0000 0.2644 [24 per cell]  8 Tb 3.63-3.67, 4 Nd 4.00
4 Nd 0.0000 0.0000 0.0000 [4 per cell]  8 Tb 3.56
5 Nd 0.0000 0.2500 0.2500 [24 per cell]  8 Tb 3.29-3.43



(4)
Material: Ta2NbCdTc
Method: DFT, PBE-GGA
State: relaxed

**Size of the total moment**: 0.0 μB per cell
**Formation enthalpy at 0 K**: 1530 meV per atom
**Raw total energy**: -37.41 eV per cell

Lattice parameters (Å, degrees): 4.8978 4.8978 4.7440 90.00 90.00 90.00
Closest atoms and distances in Å follow each position.
Space group P4/mmm (No. 123)
Inequivalent atoms, fractional coordinates:
1 Ta 0.0000 0.5000 0.0000 [2 per cell]  2 Nb 2.45
2 Nb 0.0000 0.0000 0.0000 [1 per cell]  2 Tc 2.37, 4 Ta 2.45
3 Cd 0.5000 0.5000 0.5000 [1 per cell]  8 Ta 3.41, 4 Tc 3.46
4 Tc 0.0000 0.0000 0.5000 [1 per cell]  2 Nb 2.37



(5)
Material: Zn2CuPd
Method: DFT, PBE-GGA
State: relaxed

**Size of the total moment**: 0.0 μB per cell
**Formation enthalpy at 0 K**: -309 meV per atom
**Raw total energy**: -13.07 eV per cell

Lattice parameters (Å, degrees): 3.1090 3.1090 5.7269 90.00 90.00 90.00
Closest atoms and distances in Å follow each position.
Space group P4/mmm (No. 123)
Inequivalent atoms, fractional coordinates:
1 Zn 0.0000 0.0000 0.2399 [2 per cell]  4 Cu 2.59, 4 Pd 2.66, 1 Zn 2.75
2 Cu 0.5000 0.5000 0.0000 [1 per cell]  8 Zn 2.59, 2 Pd 2.86
3 Pd 0.5000 0.5000 0.5000 [1 per cell]  8 Zn 2.66, 2 Cu 2.86



(6)
Material: LaCdN2F
Method: DFT, PBE-GGA
State: relaxed

**Size of the total moment**: 0.0 μB per cell
**Formation energy without anion corrections**: -0.378 eV per atom
**Raw total energy**: -26.26 eV per cell
**Relative energy among the computed polymorphs**: 0 meV per atom

Lattice parameters (Å, degrees): 4.1999 4.1999 4.3360 90.00 90.00 90.00
Closest atoms and distances in Å follow each position.
Space group P4/mmm (No. 123)
Inequivalent atoms, fractional coordinates:
1 La 0.0000 0.0000 0.0000 [1 per cell]  4 F 2.97, 8 N 3.02
2 Cd 0.5000 0.5000 0.5000 [1 per cell]  4 N 2.10, 2 F 2.17
3 N 0.0000 0.5000 0.5000 [2 per cell]  2 Cd 2.10
4 F 0.5000 0.5000 0.0000 [1 per cell]  2 Cd 2.17



(7)
Material: La2BrCl
Method: DFT, PBE-GGA
State: relaxed

**Size of the total moment**: 0.0 μB per cell
**Formation energy without anion corrections**: -1.268 eV per atom
**Raw total energy**: -36.89 eV per cell
**Relative energy among the computed polymorphs**: 153 meV per atom

Lattice parameters (Å, degrees): 4.1360 6.6811 10.5556 90.00 90.00 90.00
Closest atoms and distances in Å follow each position.
Space group Cmm2 (No. 35)
Inequivalent atoms, fractional coordinates:
1 La 0.0000 0.0000 0.0000 [2 per cell]  2 Br 2.95
2 La 0.0000 0.5000 0.2613 [2 per cell]  2 Cl 2.81
3 Br 0.0000 0.5000 0.8010 [2 per cell]  2 La 2.95
4 Cl 0.0000 0.0000 0.4411 [2 per cell]  2 La 2.81



(8)
Material: Ac2Ge2Ru2C
Method: DFT, PBE-GGA
State: relaxed

**Size of the total moment**: 0.0 μB per cell
**Formation enthalpy at 0 K**: -567 meV per atom
**Raw total energy**: -98.39 eV per cell

Lattice parameters (Å, degrees): 11.6784 4.3028 7.4882 90.00 127.16 90.00
Closest atoms and distances in Å follow each position.
Space group C2/m (No. 12)
Inequivalent atoms, fractional coordinates:
1 Ac 0.0566 0.0000 0.3015 [4 per cell]  2 C 2.89, 1 Ge 3.23
2 Ge 0.1830 0.5000 0.7381 [4 per cell]  3 Ru 2.51
3 Ru 0.1881 0.5000 0.0778 [4 per cell]  1 C 1.90
4 C 0.0000 0.5000 0.0000 [2 per cell]  2 Ru 1.90



(9)
Material: Sm2SnHg
Method: DFT, PBE-GGA
State: relaxed

**Size of the total moment**: 0.0 μB per cell
**Formation enthalpy at 0 K**: -427 meV per atom
**Raw total energy**: -46.35 eV per cell

Lattice parameters (Å, degrees): 3.9219 3.9219 27.2466 90.00 90.00 120.00
Closest atoms and distances in Å follow each position.
Space group R-3m (No. 166, hexagonal axes)
Inequivalent atoms, fractional coordinates:
1 Sm 0.0000 0.0000 0.2504 [6 per cell]  3 Sn 3.20, 3 Hg 3.21
2 Sn 0.0000 0.0000 0.0000 [3 per cell]  6 Sm 3.20
3 Hg 0.0000 0.0000 0.5000 [3 per cell]  6 Sm 3.21



(10)
Material: TlPW2Cl
Method: DFT, PBE-GGA
State: relaxed

**Size of the total moment**: 2.7 μB per cell
**Formation energy without anion corrections**: 1.187 eV per atom
**Raw total energy**: -29.59 eV per cell

Lattice parameters (Å, degrees): 4.5272 4.5272 6.7897 90.00 90.00 90.00
Closest atoms and distances in Å follow each position.
Space group P4/mmm (No. 123)
Inequivalent atoms, fractional coordinates:
1 Tl 0.0000 0.0000 0.0000 [1 per cell]  4 Cl 3.20, 2 P 3.39
2 P 0.0000 0.0000 0.5000 [1 per cell]  4 W 2.26
3 W 0.0000 0.5000 0.5000 [2 per cell]  2 P 2.26
4 Cl 0.5000 0.5000 0.0000 [1 per cell]  4 Tl 3.20



(11)
Material: LiCoCl
Method: DFT, PBE-GGA
State: relaxed

**Size of the total moment**: 4.8 μB per cell
**Formation energy without anion corrections**: 0.130 eV per atom
**Raw total energy**: -41.91 eV per cell
**Relative energy among the computed polymorphs**: 238 meV per atom

Lattice parameters (Å, degrees): 5.5466 5.5466 5.5466 90.00 90.00 90.00
Closest atoms and distances in Å follow each position.
Space group F-43m (No. 216)
Inequivalent atoms, fractional coordinates:
1 Li 0.0000 0.0000 0.0000 [4 per cell]  4 Cl 2.40
2 Co 0.0000 0.0000 0.5000 [4 per cell]  4 Cl 2.40
3 Cl 0.2500 0.2500 0.7500 [4 per cell]  4 Li 2.40, 4 Co 2.40



(12)
Material: YSi3
Method: DFT, PBE-GGA
State: relaxed

**Size of the total moment**: 0.0 μB per cell
**Formation energy without anion corrections**: 0.021 eV per atom
**Raw total energy**: -45.30 eV per cell

Lattice parameters (Å, degrees): 5.2941 5.2941 5.2941 90.00 90.00 90.00
Closest atoms and distances in Å follow each position.
Space group Pm-3n (No. 223)
Inequivalent atoms, fractional coordinates:
1 Y 0.0000 0.0000 0.0000 [2 per cell]  12 Si 2.96
2 Si 0.0000 0.2500 0.5000 [6 per cell]  2 Si 2.65, 4 Y 2.96



(13)
Material: PrTh2NpP4
Method: DFT, PBE-GGA
State: relaxed

**Size of the total moment**: 8.2 μB per cell
**Formation enthalpy at 0 K**: -1366 meV per atom
**Raw total energy**: -130.25 eV per cell

Lattice parameters (Å, degrees): 5.8279 5.8279 11.6547 90.00 90.00 90.00
Closest atoms and distances in Å follow each position.
Space group I-4m2 (No. 119)
Inequivalent atoms, fractional coordinates:
1 Pr 0.0000 0.0000 0.0000 [2 per cell]  6 P 2.91-2.94
2 Th 0.0000 0.0000 0.5000 [2 per cell]  6 P 2.89-2.91
3 Th 0.0000 0.5000 0.2500 [2 per cell]  6 P 2.91-2.96
4 Np 0.0000 0.5000 0.7500 [2 per cell]  6 P 2.87-2.91
5 P 0.0000 0.0000 0.2520 [4 per cell]  3 Th 2.89-2.91, 2 Np 2.91, 1 Pr 2.94
6 P 0.0000 0.5000 0.5041 [4 per cell]  1 Np 2.87, 3 Th 2.91-2.96, 2 Pr 2.91



(14)
Material: LiV2Ga2
Method: DFT, PBE-GGA
State: relaxed

**Size of the total moment**: 0.0 μB per cell
**Formation enthalpy at 0 K**: -66 meV per atom
**Raw total energy**: -53.07 eV per cell
**Relative energy among the computed polymorphs**: 0 meV per atom

Lattice parameters (Å, degrees): 7.7049 7.7049 2.6523 90.00 90.00 90.00
Closest atoms and distances in Å follow each position.
Space group P4/mbm (No. 127)
Inequivalent atoms, fractional coordinates:
1 Li 0.0000 0.0000 0.0000 [2 per cell]  2 Li 2.65
2 V 0.1082 0.3918 0.0000 [4 per cell]  1 V 2.36, 2 Ga 2.60
3 Ga 0.1861 0.6861 0.5000 [4 per cell]  6 V 2.60-2.69, 2 Ga 2.65



(15)
Material: CePmCoIr
Method: DFT, PBE-GGA
State: relaxed

**Size of the total moment**: 1.2 μB per cell
**Formation enthalpy at 0 K**: -335 meV per atom
**Raw total energy**: -111.97 eV per cell

Lattice parameters (Å, degrees): 6.9287 6.9287 6.9287 90.00 90.00 90.00
Closest atoms and distances in Å follow each position.
Space group F-43m (No. 216)
Inequivalent atoms, fractional coordinates:
1 Ce 0.0000 0.0000 0.0000 [4 per cell]  4 Ir 3.00, 4 Co 3.00
2 Pm 0.0000 0.0000 0.5000 [4 per cell]  4 Co 3.00, 4 Ir 3.00
3 Co 0.2500 0.2500 0.2500 [4 per cell]  4 Ce 3.00, 4 Pm 3.00
4 Ir 0.2500 0.2500 0.7500 [4 per cell]  4 Ce 3.00, 4 Pm 3.00



(16)
Material: Si2HPbCl
Method: DFT, PBE-GGA
State: relaxed

**Size of the total moment**: 0.6 μB per cell
**Raw total energy**: -12.97 eV per cell

Lattice parameters (Å, degrees): 4.7909 4.7909 5.6778 90.00 90.00 90.00
Closest atoms and distances in Å follow each position.
Space group P4/mmm (No. 123)
Inequivalent atoms, fractional coordinates:
1 Si 0.0000 0.5000 0.0000 [2 per cell]  2 Cl 2.40
2 H 0.0000 0.0000 0.5000 [1 per cell]  4 Pb 3.39, 8 Si 3.71
3 Pb 0.5000 0.5000 0.5000 [1 per cell]  2 Cl 2.84
4 Cl 0.5000 0.5000 0.0000 [1 per cell]  4 Si 2.40



(17)
Material: FeReIr
Method: DFT, PBE-GGA
State: relaxed

**Size of the total moment**: 0.0 μB per cell
**Formation enthalpy at 0 K**: 442 meV per atom
**Raw total energy**: -113.78 eV per cell
**Relative energy among the computed polymorphs**: 516 meV per atom

Lattice parameters (Å, degrees): 5.7616 5.7616 5.7616 90.00 90.00 90.00
Closest atoms and distances in Å follow each position.
Space group F-43m (No. 216)
Inequivalent atoms, fractional coordinates:
1 Fe 0.0000 0.0000 0.0000 [4 per cell]  4 Re 2.49
2 Re 0.2500 0.2500 0.7500 [4 per cell]  4 Ir 2.49, 4 Fe 2.49
3 Ir 0.0000 0.0000 0.5000 [4 per cell]  4 Re 2.49



(18)
Material: PrAsS3
Method: DFT, PBE-GGA
State: relaxed

**Size of the total moment**: 0.0 μB per cell
**Formation energy without anion corrections**: -1.030 eV per atom
**Raw total energy**: -107.85 eV per cell
**Relative energy among the computed polymorphs**: 0 meV per atom

Lattice parameters (Å, degrees): 7.9121 3.9929 13.5186 90.00 90.00 90.00
Closest atoms and distances in Å follow each position.
Space group Pnma (No. 62)
Inequivalent atoms, fractional coordinates:
1 Pr 0.0946 0.2500 0.1634 [4 per cell]  9 S 2.94-3.12
2 As 0.1519 0.7500 0.4332 [4 per cell]  3 S 2.35-2.57
3 S 0.0211 0.7500 0.6298 [4 per cell]  3 As 2.57-2.85
4 S 0.1564 0.7500 0.0051 [4 per cell]  2 As 2.69, 2 Pr 2.97
5 S 0.1872 0.2500 0.7871 [4 per cell]  1 As 2.35



(19)
Material: MgCu6Se6
Method: DFT, PBE-GGA
State: relaxed

**Size of the total moment**: 0.0 μB per cell
**Formation energy without anion corrections**: -0.019 eV per atom
**Raw total energy**: -47.33 eV per cell
**Relative energy among the computed polymorphs**: 0 meV per atom

Lattice parameters (Å, degrees): 5.5174 5.5174 8.5355 90.00 90.00 120.00
Closest atoms and distances in Å follow each position.
Space group P6/mmm (No. 191)
Inequivalent atoms, fractional coordinates:
1 Mg 0.0000 0.0000 0.0000 [1 per cell]  2 Se 2.48
2 Cu 0.0000 0.5000 0.2599 [6 per cell]  6 Se 2.60-2.77, 4 Cu 2.76
3 Se 0.0000 0.0000 0.2911 [2 per cell]  1 Mg 2.48, 6 Cu 2.77
4 Se 0.3333 0.6667 0.0000 [2 per cell]  6 Cu 2.73
5 Se 0.3333 0.6667 0.5000 [2 per cell]  6 Cu 2.60



(20)
Material: TiFe2PC
Method: DFT, PBE-GGA
State: relaxed

**Size of the total moment**: 4.1 μB per cell
**Formation enthalpy at 0 K**: 1160 meV per atom
**Raw total energy**: -33.66 eV per cell

Lattice parameters (Å, degrees): 4.0418 4.0418 4.6338 90.00 90.00 90.00
Closest atoms and distances in Å follow each position.
Space group P4/mmm (No. 123)
Inequivalent atoms, fractional coordinates:
1 Ti 0.0000 0.0000 0.0000 [1 per cell]  2 P 2.32
2 Fe 0.0000 0.5000 0.5000 [2 per cell]  2 P 2.02
3 P 0.0000 0.0000 0.5000 [1 per cell]  4 Fe 2.02
4 C 0.5000 0.5000 0.0000 [1 per cell]  4 Ti 2.86, 8 Fe 3.07